(1)
Material: Tb7Pr3Sm2
Method: DFT, PBE
State: relaxed

The space group is P2/m (No. 10) and the conventional cell measures 6.412, 3.565 and 17.736 Å, with angles of 90.00, 96.23 and 90.00 degrees. The distinct sites, in fractional coordinates, are Tb at (0.000, 0.000, 0.000), Tb at (0.223, 0.500, 0.166), Tb at (0.254, 0.500, 0.500), Tb at (0.272, 0.000, 0.835), Pr at (0.453, 0.000, 0.340), Pr at (0.500, 0.500, 0.000) and Sm at (0.056, 0.500, 0.673).



(2)
Material: TbPr6Sm12
Method: DFT, PBE
State: relaxed

The space group is R-3m (No. 166, hexagonal axes) and the conventional cell measures 16.6606, 16.6606 and 8.4262 Å, with angles of 90.00, 90.00 and 120.00 degrees. The distinct sites, in fractional coordinates, are Tb at (0.0000, 0.0000, 0.0000), Pr at (0.0861, 0.1722, 0.6458), Sm at (0.0000, 0.3789, 0.5000) and Sm at (0.0938, 0.5469, 0.8105).



(3)
Material: Tb12Pr6Sm
Method: DFT, PBE
State: relaxed

The space group is R-3m (No. 166, hexagonal axes) and the conventional cell measures 11.2008, 11.2008 and 17.7082 Å, with angles of 90.00, 90.00 and 120.00 degrees. The distinct sites, in fractional coordinates, are Tb at (0.1019, 0.5509, 0.4137), Tb at (0.1060, 0.2120, 0.4088), Pr at (0.0697, 0.5349, 0.7661) and Sm at (0.0000, 0.0000, 0.0000).



Q: Which total energy values were calculated for the entries above? A: -4.601 -4.429 -4.563, in eV/atom.
Q: Which DFT formation energy values were calculated for the entries above? A: 0.082 0.304 0.119, in eV/atom.